The following is a GGA-PBE calculation of a geometry-optimized KTa2MoS structure, from Alexandria via LeMat-Bulk.

The structure in POSCAR format:
```
KTa2MoS
1.0
-0.4475 -3.9635 -2.4057
-1.6988 -2.1778 3.9042
-4.3311 1.2199 -1.2041
S K Mo Ta
1 1 1 2
Direct
0.0000 0.5000 0.0000 S
0.0000 0.0000 0.0000 K
0.5000 0.5000 0.5000 Mo
0.0000 0.0000 0.5000 Ta
0.5000 0.0000 0.0000 Ta
```

Values from the calculation:
spin magnetization = 0.000 μB/atom
formation energy (no corrections) = 3.03 eV per atom
space group = P4/mmm, No. 123
crystal system = tetragonal
E_tot = -4.92 eV/atom
Fermi-level density of states = 1.851 states/eV per atom